i | Density functional theory data (PBE-GGA) for a relaxed Ac2Pm4Ho crystal.

abc: 9.979 9.979 9.979
angles: 146.82 146.82 47.64
Atoms (fractional coordinates):
Ac 0.128 0.128 0.000
Ac 0.872 0.872 0.000
Pm 0.000 0.500 0.500
Pm 0.326 0.326 0.000
Pm 0.500 0.000 0.500
Pm 0.674 0.674 0.000
Ho 0.500 0.500 0.000

Results
theoretical density = 6.714 g/cm³
V = 42.4 A^3/atom



ii | Density functional theory data (PBE-GGA) for a relaxed Ac2Pm4Ho crystal.

abc: 19.143 19.143 3.704
angles: 90.00 90.00 168.93
Atoms (fractional coordinates):
Ac 0.205 0.795 0.000
Ac 0.795 0.205 0.000
Pm 0.065 0.935 0.000
Pm 0.368 0.632 0.500
Pm 0.632 0.368 0.500
Pm 0.935 0.065 0.000
Ho 0.500 0.500 0.500

Results
theoretical density = 7.641 g/cm³
V = 37.2 A^3/atom



Most favorable first, least favorable last: ii, i



i | Density functional theory data (PBE-GGA) for a relaxed AcPmHo2 crystal.

abc: 5.240 5.240 5.085
angles: 90.00 90.00 90.00
Atoms (fractional coordinates):
Ac 0.000 0.000 0.000
Pm 0.500 0.500 0.000
Ho 0.000 0.500 0.500
Ho 0.500 0.000 0.500

Results
theoretical density = 8.347 g/cm³
V = 34.9 A^3/atom



ii | Density functional theory data (PBE-GGA) for a relaxed AcPmHo2 crystal.

abc: 5.848 5.848 5.848
angles: 60.00 60.00 60.00
Atoms (fractional coordinates):
Ac 0.000 0.000 0.000
Pm 0.500 0.500 0.500
Ho 0.250 0.250 0.250
Ho 0.750 0.750 0.750

Results
theoretical density = 8.242 g/cm³
V = 35.4 A^3/atom



Most favorable first, least favorable last: i, ii



i | Density functional theory data (PBE-GGA) for a relaxed AcPmHo2 crystal.

abc: 11.954 11.954 11.954
angles: 17.86 17.86 17.86
Atoms (fractional coordinates):
Ac 0.000 0.000 0.000
Pm 0.834 0.834 0.834
Ho 0.419 0.419 0.419
Ho 0.581 0.581 0.581

Results
theoretical density = 8.306 g/cm³
V = 35.1 A^3/atom



ii | Density functional theory data (PBE-GGA) for a relaxed AcPmHo2 crystal.

abc: 11.933 11.933 11.933
angles: 17.85 17.85 17.85
Atoms (fractional coordinates):
Ac 0.000 0.000 0.000
Pm 0.500 0.500 0.500
Ho 0.248 0.248 0.248
Ho 0.752 0.752 0.752

Results
theoretical density = 8.362 g/cm³
V = 34.8 A^3/atom



Most favorable first, least favorable last: ii, i



i | Density functional theory data (PBE-GGA) for a relaxed Ac2Pm2Ho crystal.

abc: 6.664 6.664 11.076
angles: 114.52 114.52 64.31
Atoms (fractional coordinates):
Ac 0.193 0.201 0.349
Ac 0.201 0.193 0.849
Ac 0.799 0.807 0.151
Ac 0.807 0.799 0.651
Pm 0.226 0.770 0.000
Pm 0.230 0.774 0.500
Pm 0.770 0.226 0.500
Pm 0.774 0.230 0.000
Ho 0.499 0.501 0.250
Ho 0.501 0.499 0.750

Results
theoretical density = 7.812 g/cm³
V = 38.6 A^3/atom



ii | Density functional theory data (PBE-GGA) for a relaxed Ac2Pm2Ho crystal.

abc: 9.042 9.042 9.042
angles: 148.34 148.34 45.38
Atoms (fractional coordinates):
Ac 0.250 0.750 0.500
Ac 0.750 0.250 0.500
Pm 0.091 0.091 0.000
Pm 0.909 0.909 0.000
Ho 0.500 0.500 0.000

Results
theoretical density = 7.435 g/cm³
V = 40.6 A^3/atom



Most favorable first, least favorable last: i, ii



i | Density functional theory data (PBE-GGA) for a relaxed AcPm6Ho8 crystal.

abc: 8.631 8.631 8.631
angles: 65.24 65.24 65.24
Atoms (fractional coordinates):
Ac 0.000 0.000 0.000
Pm 0.106 0.268 0.548
Pm 0.268 0.548 0.106
Pm 0.452 0.894 0.732
Pm 0.548 0.106 0.268
Pm 0.732 0.452 0.894
Pm 0.894 0.732 0.452
Ho 0.084 0.647 0.775
Ho 0.225 0.916 0.353
Ho 0.353 0.225 0.916
Ho 0.430 0.430 0.430
Ho 0.570 0.570 0.570
Ho 0.647 0.775 0.084
Ho 0.775 0.084 0.647
Ho 0.916 0.353 0.225

Results
theoretical density = 7.922 g/cm³
V = 33.8 A^3/atom



ii | Density functional theory data (PBE-GGA) for a relaxed AcPm6Ho8 crystal.

abc: 8.613 8.613 8.613
angles: 67.74 67.74 67.74
Atoms (fractional coordinates):
Ac 0.000 0.000 0.000
Pm 0.116 0.397 0.643
Pm 0.357 0.884 0.603
Pm 0.397 0.643 0.116
Pm 0.603 0.357 0.884
Pm 0.643 0.116 0.397
Pm 0.884 0.603 0.357
Ho 0.099 0.840 0.418
Ho 0.160 0.582 0.901
Ho 0.230 0.230 0.230
Ho 0.418 0.099 0.840
Ho 0.582 0.901 0.160
Ho 0.770 0.770 0.770
Ho 0.840 0.418 0.099
Ho 0.901 0.160 0.582

Results
theoretical density = 7.625 g/cm³
V = 35.1 A^3/atom



Most favorable first, least favorable last: i, ii



i | Density functional theory data (PBE-GGA) for a relaxed AcPm4Ho crystal.

abc: 6.755 6.755 6.755
angles: 60.00 60.00 60.00
Atoms (fractional coordinates):
Ac 0.000 0.000 0.000
Pm 0.129 0.624 0.624
Pm 0.624 0.129 0.624
Pm 0.624 0.624 0.129
Pm 0.624 0.624 0.624
Ho 0.250 0.250 0.250

Results
theoretical density = 7.405 g/cm³
V = 36.3 A^3/atom



ii | Density functional theory data (PBE-GGA) for a relaxed AcPm4Ho crystal.

abc: 3.712 5.150 11.125
angles: 90.00 90.01 90.00
Atoms (fractional coordinates):
Ac 0.000 0.000 0.000
Pm 0.001 0.000 0.661
Pm 0.498 0.500 0.822
Pm 0.502 0.500 0.178
Pm 0.999 0.000 0.339
Ho 0.500 0.500 0.500

Results
theoretical density = 7.588 g/cm³
V = 35.5 A^3/atom



Most favorable first, least favorable last: ii, i



i | Density functional theory data (PBE-GGA) for a relaxed Ac2Pm7Ho2 crystal.

abc: 8.325 8.325 6.178
angles: 105.09 105.09 91.28
Atoms (fractional coordinates):
Ac 0.222 0.222 0.106
Ac 0.778 0.778 0.894
Pm 0.000 0.000 0.500
Pm 0.049 0.594 0.328
Pm 0.406 0.951 0.672
Pm 0.423 0.423 0.703
Pm 0.577 0.577 0.297
Pm 0.594 0.049 0.328
Pm 0.951 0.406 0.672
Ho 0.232 0.768 0.000
Ho 0.768 0.232 0.000

Results
theoretical density = 7.519 g/cm³
V = 36.1 A^3/atom



ii | Density functional theory data (PBE-GGA) for a relaxed Ac2Pm7Ho2 crystal.

abc: 7.121 7.121 9.604
angles: 90.00 90.00 121.89
Atoms (fractional coordinates):
Ac 0.248 0.248 0.000
Ac 0.752 0.752 0.000
Pm 0.000 0.000 0.500
Pm 0.000 0.500 0.190
Pm 0.000 0.500 0.810
Pm 0.500 0.000 0.190
Pm 0.500 0.000 0.810
Pm 0.500 0.500 0.326
Pm 0.500 0.500 0.674
Ho 0.266 0.734 0.500
Ho 0.734 0.266 0.500

Results
theoretical density = 7.225 g/cm³
V = 37.6 A^3/atom



Most favorable first, least favorable last: i, ii



i | Density functional theory data (PBE-GGA) for a relaxed Ac2Pm6Ho crystal.

abc: 9.319 9.319 9.282
angles: 113.14 113.14 66.07
Atoms (fractional coordinates):
Ac 0.019 0.170 0.182
Ac 0.170 0.019 0.682
Ac 0.830 0.981 0.318
Ac 0.981 0.830 0.818
Pm 0.093 0.578 0.421
Pm 0.172 0.354 0.019
Pm 0.336 0.500 0.838
Pm 0.354 0.172 0.519
Pm 0.422 0.907 0.079
Pm 0.500 0.336 0.338
Pm 0.500 0.664 0.662
Pm 0.578 0.093 0.921
Pm 0.646 0.828 0.481
Pm 0.664 0.500 0.162
Pm 0.828 0.646 0.981
Pm 0.907 0.422 0.579
Ho 0.260 0.740 0.250
Ho 0.740 0.260 0.750

Results
theoretical density = 7.598 g/cm³
V = 36.2 A^3/atom



ii | Density functional theory data (PBE-GGA) for a relaxed Ac2Pm6Ho crystal.

abc: 7.341 7.341 7.114
angles: 90.00 90.00 60.02
Atoms (fractional coordinates):
Ac 0.166 0.166 0.173
Ac 0.834 0.834 0.827
Pm 0.140 0.679 0.319
Pm 0.321 0.321 0.682
Pm 0.321 0.860 0.681
Pm 0.679 0.140 0.319
Pm 0.679 0.679 0.318
Pm 0.860 0.321 0.681
Ho 0.500 0.500 0.000

Results
theoretical density = 7.446 g/cm³
V = 36.9 A^3/atom



Most favorable first, least favorable last: i, ii



i | Density functional theory data (PBE-GGA) for a relaxed AcPm12Ho7 crystal.

abc: 8.815 8.815 8.815
angles: 88.72 88.72 88.72
Atoms (fractional coordinates):
Ac 0.000 0.000 0.000
Pm 0.138 0.275 0.721
Pm 0.141 0.626 0.496
Pm 0.275 0.721 0.138
Pm 0.279 0.862 0.725
Pm 0.374 0.504 0.859
Pm 0.496 0.141 0.626
Pm 0.504 0.859 0.374
Pm 0.626 0.496 0.141
Pm 0.721 0.138 0.275
Pm 0.725 0.279 0.862
Pm 0.859 0.374 0.504
Pm 0.862 0.725 0.279
Ho 0.060 0.388 0.154
Ho 0.154 0.060 0.388
Ho 0.388 0.154 0.060
Ho 0.500 0.500 0.500
Ho 0.612 0.846 0.940
Ho 0.846 0.940 0.612
Ho 0.940 0.612 0.846

Results
theoretical density = 7.574 g/cm³
V = 34.2 A^3/atom



ii | Density functional theory data (PBE-GGA) for a relaxed AcPm12Ho7 crystal.

abc: 10.041 10.041 10.041
angles: 109.47 109.47 109.47
Atoms (fractional coordinates):
Ac 0.000 0.000 0.000
Pm 0.003 0.267 0.737
Pm 0.263 0.530 0.267
Pm 0.263 0.997 0.733
Pm 0.267 0.263 0.530
Pm 0.267 0.737 0.003
Pm 0.470 0.733 0.737
Pm 0.530 0.267 0.263
Pm 0.733 0.263 0.997
Pm 0.733 0.737 0.470
Pm 0.737 0.003 0.267
Pm 0.737 0.470 0.733
Pm 0.997 0.733 0.263
Ho 0.000 0.000 0.500
Ho 0.000 0.500 0.000
Ho 0.000 0.500 0.500
Ho 0.500 0.000 0.000
Ho 0.500 0.000 0.500
Ho 0.500 0.500 0.000
Ho 0.500 0.500 0.500

Results
theoretical density = 6.652 g/cm³
V = 39.0 A^3/atom



Most favorable first, least favorable last: i, ii



i | Density functional theory data (PBE-GGA) for a relaxed AcPm4Ho3 crystal.

abc: 3.580 5.657 13.621
angles: 90.00 90.00 90.00
Atoms (fractional coordinates):
Ac 0.000 0.000 0.000
Pm 0.000 0.000 0.268
Pm 0.000 0.500 0.604
Pm 0.500 0.000 0.750
Pm 0.500 0.500 0.118
Ho 0.000 0.500 0.863
Ho 0.500 0.000 0.498
Ho 0.500 0.500 0.374

Results
theoretical density = 7.837 g/cm³
V = 34.5 A^3/atom



ii | Density functional theory data (PBE-GGA) for a relaxed AcPm4Ho3 crystal.

abc: 12.912 12.912 12.912
angles: 163.23 153.46 31.56
Atoms (fractional coordinates):
Ac 0.000 0.000 0.000
Pm 0.141 0.641 0.500
Pm 0.386 0.886 0.500
Pm 0.614 0.114 0.500
Pm 0.859 0.359 0.500
Ho 0.266 0.266 0.000
Ho 0.500 0.500 0.000
Ho 0.734 0.734 0.000

Results
theoretical density = 7.793 g/cm³
V = 34.7 A^3/atom



Most favorable first, least favorable last: i, ii



i | Density functional theory data (PBE-GGA) for a relaxed Ac2Pm5Ho12 crystal.

abc: 7.002 8.008 12.245
angles: 88.07 82.26 75.24
Atoms (fractional coordinates):
Ac 0.226 0.069 0.048
Ac 0.774 0.931 0.952
Pm 0.069 0.319 0.541
Pm 0.247 0.569 0.981
Pm 0.500 0.500 0.500
Pm 0.753 0.431 0.019
Pm 0.931 0.681 0.459
Ho 0.005 0.235 0.802
Ho 0.133 0.629 0.722
Ho 0.157 0.991 0.376
Ho 0.347 0.375 0.246
Ho 0.366 0.947 0.624
Ho 0.489 0.269 0.786
Ho 0.511 0.731 0.214
Ho 0.634 0.053 0.376
Ho 0.653 0.625 0.754
Ho 0.843 0.009 0.624
Ho 0.867 0.371 0.278
Ho 0.995 0.765 0.198

Results
theoretical density = 7.971 g/cm³
V = 34.6 A^3/atom



ii | Density functional theory data (PBE-GGA) for a relaxed Ac2Pm5Ho12 crystal.

abc: 9.336 9.336 10.971
angles: 100.50 100.50 44.96
Atoms (fractional coordinates):
Ac 0.238 0.762 0.000
Ac 0.762 0.238 0.000
Pm 0.256 0.256 0.511
Pm 0.268 0.268 0.000
Pm 0.500 0.500 0.500
Pm 0.732 0.732 0.000
Pm 0.744 0.744 0.489
Ho 0.047 0.047 0.366
Ho 0.048 0.587 0.774
Ho 0.121 0.623 0.278
Ho 0.377 0.879 0.722
Ho 0.413 0.952 0.226
Ho 0.457 0.457 0.739
Ho 0.543 0.543 0.261
Ho 0.587 0.048 0.774
Ho 0.623 0.121 0.278
Ho 0.879 0.377 0.722
Ho 0.952 0.413 0.226
Ho 0.953 0.953 0.634

Results
theoretical density = 7.915 g/cm³
V = 34.9 A^3/atom



Most favorable first, least favorable last: i, ii